No. 1
Zr4H2Pb after structural relaxation, computed with PBE.

a b c (Å): 3.8446 5.9574 11.2126
angles (deg): 90.00 90.00 108.82
Closest atoms and distances in Å follow each position.
Positions (direct):
Zr: 0.5000 0.0000 0.0000  4 H 2.29
Zr: 0.8919 0.7839 0.7500  2 H 2.22
Pb: 0.4050 0.8101 0.2500  8 Zr 2.94-3.00
H: 0.0975 0.1951 0.4473  4 Zr 2.12-2.29
Zr: 0.2164 0.4327 0.9059  1 H 2.12
Zr: 0.5000 0.0000 0.5000  4 H 2.29
Zr: 0.1081 0.2161 0.2500  2 H 2.22
H: 0.9025 0.8049 0.5527  4 Zr 2.12-2.29
Zr: 0.7836 0.5673 0.0941  1 H 2.12
Pb: 0.5950 0.1899 0.7500  8 Zr 2.94-3.00
Zr: 0.7836 0.5673 0.4059  1 H 2.12
H: 0.0975 0.1951 0.0527  4 Zr 2.12-2.29
Zr: 0.2164 0.4327 0.5941  1 H 2.12
H: 0.9025 0.8049 0.9473  4 Zr 2.12-2.29

For the energy, the calculation gives -6.569 eV/atom. The density of states at the Fermi level is 9.6 states/eV/cell. Its space group is No. 63.

No. 2
ScGa2FeHg after structural relaxation, computed with PBE.

a b c (Å): 4.8722 5.3915 4.8722
angles (deg): 90.00 90.00 90.00
Closest atoms and distances in Å follow each position.
Positions (direct):
Ga: 0.0000 0.0000 0.5000  2 Hg 2.44
Hg: 0.0000 0.0000 0.0000  4 Ga 2.44, 2 Sc 2.70
Sc: 0.0000 0.5000 0.0000  2 Hg 2.70
Fe: 0.5000 0.5000 0.5000  4 Sc 3.45, 8 Ga 3.63
Ga: 0.5000 0.0000 0.0000  2 Hg 2.44

The value obtained for the formation energy is 460 kJ/mol of formula units. The density of states at the Fermi level is 4.0 states/eV/cell. Its space group is No. 123.

No. 3
HfTi2Rh after structural relaxation, computed with PBE.

a b c (Å): 3.0422 4.6183 10.1579
angles (deg): 90.00 98.61 90.00
Closest atoms and distances in Å follow each position.
Positions (direct):
Rh: 0.1475 0.2500 0.2950  3 Ti 2.48-2.53
Hf: 0.6135 0.7500 0.2270  4 Rh 2.85, 2 Hf 3.04, 4 Ti 3.15-3.17
Hf: 0.3865 0.2500 0.7730  4 Rh 2.85, 2 Hf 3.04, 4 Ti 3.15-3.17
Ti: 0.7482 0.2500 0.4964  2 Rh 2.53, 4 Ti 2.77
Ti: 0.9760 0.7500 0.9519  1 Rh 2.48, 2 Ti 2.50
Rh: 0.8525 0.7500 0.7050  3 Ti 2.48-2.53
Ti: 0.2518 0.7500 0.5036  2 Rh 2.53, 4 Ti 2.77
Ti: 0.0240 0.2500 0.0481  1 Rh 2.48, 2 Ti 2.50

The value obtained for the formation energy is -129 kJ/mol of formula units. The density of states at the Fermi level is 9.6 states/eV/cell. Its space group is No. 63.

No. 4
Tl4H2Pb after structural relaxation, computed with PBE.

a b c (Å): 3.5129 5.5141 9.0758
angles (deg): 107.93 90.00 90.00
Closest atoms and distances in Å follow each position.
Positions (direct):
Tl: 0.9998 0.3018 0.6118  2 H 2.24
H: 0.4998 0.2338 0.4505  3 Tl 2.21-2.24
H: 0.5002 0.7662 0.5495  3 Tl 2.21-2.24
Tl: 0.5000 0.8979 0.8051  1 H 2.21
Pb: 0.0000 0.5000 0.0000  10 Tl 3.35-3.69, 2 Pb 3.51
Tl: 0.0002 0.6982 0.3882  2 H 2.24
Tl: 0.5000 0.1021 0.1949  1 H 2.21

For the energy, the calculation gives -2.598 eV/atom. The density of states at the Fermi level is 1.8 states/eV/cell. Its space group is No. 10.

No. 5
CeGd2Mg after structural relaxation, computed with PBE.

a b c (Å): 3.5237 3.5237 9.4112
angles (deg): 90.00 90.00 90.00
Closest atoms and distances in Å follow each position.
Positions (direct):
Gd: 0.0000 0.0000 0.2439  4 Mg 3.39, 4 Ce 3.47, 4 Gd 3.52
Ce: 0.5000 0.5000 0.5000  8 Gd 3.47, 4 Ce 3.52
Mg: 0.5000 0.5000 0.0000  8 Gd 3.39, 4 Mg 3.52
Gd: 0.0000 0.0000 0.7561  4 Mg 3.39, 4 Ce 3.47, 4 Gd 3.52

The value obtained for the formation energy is 0 kJ/mol of formula units. The density of states at the Fermi level is 6.5 states/eV/cell. Its space group is No. 123.

No. 6
TiNbCuPd after structural relaxation, computed with PBE.

a b c (Å): 3.1814 3.1814 6.1778
angles (deg): 90.00 90.00 90.00
Closest atoms and distances in Å follow each position.
Positions (direct):
Nb: 0.5000 0.5000 0.1249  4 Cu 2.70, 4 Ti 2.88, 1 Pd 2.95
Pd: 0.5000 0.5000 0.6032  4 Ti 2.67, 4 Cu 2.69, 1 Nb 2.95
Cu: 0.0000 0.0000 0.3654  4 Pd 2.69, 4 Nb 2.70, 1 Ti 2.90
Ti: 0.0000 0.0000 0.8345  4 Pd 2.67, 4 Nb 2.88, 1 Cu 2.90

The value obtained for the formation energy is -96 kJ/mol of formula units. The density of states at the Fermi level is 2.4 states/eV/cell. Its space group is No. 99.

No. 7
PuTh2Al after structural relaxation, computed with PBE.

a b c (Å): 3.3421 3.3421 11.8236
angles (deg): 81.88 81.88 60.00
Closest atoms and distances in Å follow each position.
Positions (direct):
Th: 0.0922 0.0922 0.7235  1 Pu 3.23, 3 Al 3.24, 6 Th 3.34
Al: 0.5000 0.5000 0.5000  6 Th 3.24, 6 Al 3.34
Th: 0.9078 0.9078 0.2765  1 Pu 3.23, 3 Al 3.24, 6 Th 3.34
Pu: 0.0000 0.0000 0.0000  2 Th 3.23, 6 Pu 3.34

The value obtained for the formation energy is 94 kJ/mol of formula units. The density of states at the Fermi level is 9.4 states/eV/cell. Its space group is No. 166.

No. 8
LiH3Pd after structural relaxation, computed with PBE.

a b c (Å): 6.3001 6.3001 6.3001
angles (deg): 60.00 60.00 60.00
Closest atoms and distances in Å follow each position.
Positions (direct):
H: 0.5310 0.9690 0.5310  2 Pd 1.78
H: 0.7190 0.2810 0.7190  2 Pd 1.78
Li: 0.1250 0.1250 0.1250  6 H 2.10
H: 0.5310 0.5310 0.9690  2 Pd 1.78
Li: 0.1250 0.1250 0.6250  6 H 2.10
Pd: 0.6250 0.1250 0.6250  6 H 1.78
Pd: 0.6250 0.6250 0.1250  6 H 1.78
Pd: 0.6250 0.6250 0.6250  6 H 1.78
H: 0.2810 0.7190 0.2810  2 Pd 1.78
Li: 0.6250 0.1250 0.1250  6 H 2.10
H: 0.9690 0.5310 0.9690  2 Pd 1.78
H: 0.7190 0.7190 0.2810  2 Pd 1.78
Li: 0.1250 0.6250 0.1250  6 H 2.10
Pd: 0.1250 0.6250 0.6250  6 H 1.78
H: 0.9690 0.5310 0.5310  2 Pd 1.78
H: 0.7190 0.2810 0.2810  2 Pd 1.78
H: 0.9690 0.9690 0.5310  2 Pd 1.78
H: 0.2810 0.7190 0.7190  2 Pd 1.78
H: 0.2810 0.2810 0.7190  2 Pd 1.78
H: 0.5310 0.9690 0.9690  2 Pd 1.78

For the energy, the calculation gives -3.552 eV/atom. The density of states at the Fermi level is 7.6 states/eV/cell. Its space group is No. 227.

No. 9
Fe3AgSn after structural relaxation, computed with PBE.

a b c (Å): 4.7167 4.7167 4.7167
angles (deg): 90.00 90.00 90.00
Closest atoms and distances in Å follow each position.
Positions (direct):
Fe: 0.5000 0.0000 0.0000  2 Ag 2.36
Fe: 0.0000 0.5000 0.0000  2 Ag 2.36
Ag: 0.0000 0.0000 0.0000  6 Fe 2.36
Sn: 0.5000 0.5000 0.5000  12 Fe 3.34
Fe: 0.0000 0.0000 0.5000  2 Ag 2.36

The value obtained for the formation energy is 635 kJ/mol of formula units. The density of states at the Fermi level is 7.3 states/eV/cell. Its space group is No. 221.

No. 10
ZrFePtPb2 after structural relaxation, computed with PBE.

a b c (Å): 4.9199 4.7003 4.9199
angles (deg): 90.00 90.00 90.00
Closest atoms and distances in Å follow each position.
Positions (direct):
Zr: 0.0000 0.5000 0.0000  2 Fe 2.35
Pt: 0.5000 0.5000 0.5000  8 Pb 3.40, 4 Zr 3.48
Pb: 0.5000 0.0000 0.0000  2 Fe 2.46
Pb: 0.0000 0.0000 0.5000  2 Fe 2.46
Fe: 0.0000 0.0000 0.0000  2 Zr 2.35, 4 Pb 2.46

The value obtained for the formation energy is 161 kJ/mol of formula units. The density of states at the Fermi level is 5.2 states/eV/cell. Its space group is No. 123.

No. 11
CsMgMn2I8 after structural relaxation, computed with PBE.

a b c (Å): 7.4305 7.4305 11.4253
angles (deg): 71.02 71.02 60.00
Closest atoms and distances in Å follow each position.
Positions (direct):
I: 0.2713 0.9381 0.1638  1 Mn 2.67, 1 Mg 2.96
I: 0.7287 0.0619 0.8362  1 Mn 2.67, 1 Mg 2.96
I: 0.3732 0.7287 0.8362  1 Mn 2.67, 1 Mg 2.96
I: 0.1729 0.1729 0.4814  1 Mn 2.61
Mn: 0.2551 0.2551 0.2347  4 I 2.61-2.67
Mg: 0.0000 0.0000 0.0000  6 I 2.96
Cs: 0.5000 0.5000 0.5000  12 I 4.29-4.34
I: 0.6268 0.2713 0.1638  1 Mn 2.67, 1 Mg 2.96
Mn: 0.7449 0.7449 0.7653  4 I 2.61-2.67
I: 0.8271 0.8271 0.5186  1 Mn 2.61
I: 0.0619 0.3732 0.8362  1 Mn 2.67, 1 Mg 2.96
I: 0.9381 0.6268 0.1638  1 Mn 2.67, 1 Mg 2.96

The calculation puts the formation energy from raw total energies at -0.697 eV/atom. The density of states at the Fermi level is 9.9 states/eV/cell. Its space group is No. 148.

No. 12
SmDyBeCu after structural relaxation, computed with PBE.

a b c (Å): 4.9262 4.9262 4.9262
angles (deg): 60.00 60.00 60.00
Closest atoms and distances in Å follow each position.
Positions (direct):
Dy: 0.0000 0.0000 0.0000  4 Be 3.02, 4 Cu 3.02
Sm: 0.5000 0.5000 0.5000  4 Be 3.02, 4 Cu 3.02
Be: 0.7500 0.7500 0.7500  4 Sm 3.02, 4 Dy 3.02
Cu: 0.2500 0.2500 0.2500  4 Dy 3.02, 4 Sm 3.02

The value obtained for the formation energy is -10 kJ/mol of formula units. The density of states at the Fermi level is 2.2 states/eV/cell. Its space group is No. 216.